Record 1
5
Lattice="5.239 0.000 0.000 0.000 5.239 0.000 0.000 0.000 5.239" Properties=species:S:1:pos:R:3 comment="Ca3MnSb (GGA-PBEsol, relaxed)" total_energy_ev_per_atom=-3.90 spacegroup="Pm-3m (221)" magmom_total_mub_per_atom=0.464 volume_a3_per_cell=143.8 dos_at_fermi_per_ev_atom=0.788 raw_formation_energy_mev_per_atom=241 pbc="T T T"
Ca 0.000 0.000 2.619
Ca 0.000 2.619 0.000
Ca 2.619 0.000 0.000
Mn 0.000 0.000 0.000
Sb 2.619 2.619 2.619



Record 2
4
Lattice="0.000 3.602 3.602 3.602 0.000 3.602 3.602 3.602 0.000" Properties=species:S:1:pos:R:3 comment="CaMnSb2 (GGA-PBEsol, relaxed)" total_energy_ev_per_atom=-5.32 spacegroup="Fm-3m (225)" magmom_total_mub_per_atom=0.904 volume_a3_per_cell=93.5 dos_at_fermi_per_ev_atom=0.626 raw_formation_energy_mev_per_atom=-71 pbc="T T T"
Ca 0.000 0.000 0.000
Mn 3.602 3.602 3.602
Sb 1.801 1.801 1.801
Sb 5.404 5.404 5.404



Record 3
4
Lattice="2.151 -2.809 0.000 2.151 2.809 0.000 0.000 0.000 7.746" Properties=species:S:1:pos:R:3 comment="CaMnSb2 (GGA-PBEsol, relaxed)" total_energy_ev_per_atom=-5.43 spacegroup="Cmmm (65)" magmom_total_mub_per_atom=0.892 volume_a3_per_cell=93.6 dos_at_fermi_per_ev_atom=0.527 raw_formation_energy_mev_per_atom=-175 pbc="T T T"
Ca 0.000 0.000 0.000
Mn 0.000 0.000 3.873
Sb 2.151 0.000 2.228
Sb 2.151 0.000 5.517



Record 4
6
Lattice="0.000 4.212 4.212 4.212 0.000 4.212 4.212 4.212 0.000" Properties=species:S:1:pos:R:3 comment="CaSc4Mn (GGA-PBEsol, relaxed)" total_energy_ev_per_atom=-5.86 spacegroup="F-43m (216)" magmom_total_mub_per_atom=0.699 volume_a3_per_cell=149.5 dos_at_fermi_per_ev_atom=1.499 delta_e_f_ev_per_atom=0.53 pbc="T T T"
Ca 0.000 0.000 0.000
Sc 5.250 3.175 3.175
Sc 3.175 5.250 3.175
Sc 3.175 3.175 5.250
Sc 5.250 5.250 5.250
Mn 2.106 2.106 2.106